Below is BeInI2O after structural relaxation, with properties calculated at the PBE level.

## Properties
Its distance to the lowest polymorph of the same formula is 1.0295 eV/atom. The density of states at the Fermi level is 1.83 states/eV per cell. The space group is P4/mmm.

Unit cell a=6.183 b=6.183 c=3.998 alpha=90.00 beta=90.00 gamma=90.00
Each line ends with the local moment (μB).
Sites, in units of the cell vectors:
I1 0.000 0.500 0.000  0.04
I2 0.500 0.000 0.000  0.04
Be1 0.500 0.500 0.500  0.17
O1 0.000 0.000 0.500  0.00
In1 0.000 0.000 0.000  0.00